1.
The following is a GGA-PBE calculation of a geometry-optimized Ge2Pb2S structure, from Alexandria via LeMat-Bulk.

- Space-group type: No. 127
- E_form (uncorrected): 0.19 eV per atom

POSCAR file:
```
Ge2Pb2S
1.0
7.109 0.000 0.000
0.000 7.109 0.000
0.000 0.000 4.872
Ge Pb S
4 4 2
Direct
0.362 0.862 0.000
0.138 0.362 0.000
0.862 0.638 0.000
0.638 0.138 0.000
0.822 0.322 0.500
0.178 0.678 0.500
0.322 0.178 0.500
0.678 0.822 0.500
0.000 0.000 0.000
0.500 0.500 0.000
```

***

2.
The following is a GGA-PBE calculation of a geometry-optimized TeRhSe2 structure, from Alexandria via LeMat-Bulk.

- Space-group type: No. 99
- E_form (uncorrected): 0.20 eV per atom

POSCAR file:
```
TeRhSe2
1.0
3.631 0.000 0.000
0.000 3.626 0.000
0.000 0.000 6.957
Rh Se Te
1 2 1
Direct
0.500 0.500 0.701
0.500 0.500 0.324
0.000 0.000 0.929
0.000 0.000 0.546
```

***

3.
The following is a GGA-PBE calculation of a geometry-optimized HoNiHgPt structure, from Alexandria via LeMat-Bulk.

- Space-group type: No. 216
- Formation enthalpy at 0 K: -493 meV/atom

POSCAR file:
```
HoNiHgPt
1.0
-3.594 -1.173 2.809
-0.911 -4.535 0.889
0.839 -1.775 4.281
Pt Hg Ni Ho
1 1 1 1
Direct
0.750 0.750 0.750
0.500 0.500 0.500
0.250 0.250 0.250
0.000 0.000 0.000
```

***

4.
The following is a GGA-PBE calculation of a geometry-optimized BaBi6 structure, from Alexandria via LeMat-Bulk.

- Space-group type: No. 229
- Formation enthalpy at 0 K: 85 meV/atom

POSCAR file:
```
BaBi6
1.0
7.650 0.000 0.000
-2.550 7.213 0.000
-2.550 -3.606 6.246
Bi Ba
6 1
Direct
0.750 0.250 0.500
0.500 0.250 0.750
0.750 0.500 0.250
0.500 0.750 0.250
0.250 0.750 0.500
0.250 0.500 0.750
0.000 0.000 0.000
```

***

5.
The following is a GGA-PBE calculation of a geometry-optimized Ho4Tm3Al2 structure, from Alexandria via LeMat-Bulk.

- Space-group type: No. 12
- Formation enthalpy at 0 K: -153 meV/atom

POSCAR file:
```
Ho4Tm3Al2
1.0
5.147 -0.001 -0.001
2.572 6.086 0.465
2.572 3.350 8.153
Tm Ho Al
3 4 2
Direct
0.584 0.181 0.652
0.416 0.819 0.348
0.000 0.000 0.000
0.668 0.626 0.037
0.332 0.374 0.963
0.871 0.606 0.651
0.129 0.394 0.349
0.213 0.890 0.684
0.787 0.110 0.316
```

***

6.
The following is a GGA-PBE calculation of a geometry-optimized Pr3TmMg3 structure, from Alexandria via LeMat-Bulk.

- Space-group type: No. 12
- Formation enthalpy at 0 K: 67 meV/atom

POSCAR file:
```
Pr3TmMg3
1.0
-0.270 -0.459 6.553
-3.408 -4.855 -2.835
8.824 -6.150 -0.069
Mg Pr Tm
6 6 2
Direct
0.000 0.000 0.763
0.000 0.500 0.753
0.000 0.500 0.247
0.500 0.000 0.247
0.500 0.000 0.753
0.000 0.000 0.237
0.499 0.499 0.677
0.777 0.223 0.000
0.174 0.826 0.500
0.223 0.777 0.000
0.501 0.501 0.323
0.826 0.174 0.500
0.714 0.714 0.000
0.286 0.286 0.000
```

***

no.,total energy (eV per atom)
1,-3.9611
2,-4.1636
3,-4.6684
4,-3.5158
5,-4.5094
6,-3.3037